Material: La5Mg6
Method: DFT, PBE
State: relaxed

- raw total energy (eV/atom) = -3.10
- total magnetic moment (μB/atom) = 0.0000
- SG = Immm
- calculated formation energy (eV per formula unit) = 0.1

abc: 9.197 9.197 9.197
angles: 146.09 127.68 63.82
Element x y z (fractional)
La: 0.000 0.000 0.000
La: 0.169 0.669 0.500
La: 0.289 0.289 0.000
La: 0.711 0.711 0.000
La: 0.831 0.331 0.500
Mg: 0.180 0.871 0.310
Mg: 0.298 0.500 0.798
Mg: 0.439 0.129 0.310
Mg: 0.561 0.871 0.690
Mg: 0.702 0.500 0.202
Mg: 0.820 0.129 0.690